10
Lattice="6.588 -4.039 0.000 6.588 4.039 0.000 -2.693 0.000 7.640" Properties=species:S:1:pos:R:3 comment="Cs2In2As, relaxed, DFT PBE" formation_enthalpy_0k_ev_per_atom=-0.210 n_ef_per_ev_atom=0.57 polymorph_energy_ev_per_fu=0.00 pbc="T T T"
Cs 1.900 0.557 0.998
Cs 0.554 -0.557 4.817
Cs 9.929 0.557 2.822
Cs 8.583 -0.557 6.642
In 4.044 1.017 4.242
In 5.093 1.017 7.217
In 5.390 -1.017 0.423
In 6.439 -1.017 3.397
As 5.915 1.403 1.910
As 4.568 -1.403 5.730